Entry from Alexandria: crystalline Cs2Tm2MgW4O16 at its relaxed geometry (PBE with a Hubbard U).

a b c (Å): 6.6235 7.8496 8.1966
angles (deg): 73.46 70.71 70.83
Atoms (fractional coordinates):
Cs  0.0000  0.0000  0.0000
Cs  0.4114  0.3342  0.2107
Tm  0.4593  0.8187  0.2341
Tm  0.9271  0.5506  0.9669
Mg  0.9264  0.3306  0.6961
W  0.4966  0.1835  0.7679
W  0.5016  0.6873  0.7715
W  0.8924  0.6741  0.4108
W  0.8933  0.1651  0.4075
O  0.1836  0.6904  0.3234
O  0.1874  0.3091  0.8039
O  0.1907  0.0414  0.3626
O  0.2127  0.6716  0.8580
O  0.4626  0.9618  0.7310
O  0.5032  0.0569  0.0018
O  0.5595  0.7172  0.5016
O  0.5666  0.2782  0.5122
O  0.5697  0.6692  0.9998
O  0.5829  0.3898  0.8073
O  0.8147  0.9652  0.3849
O  0.8250  0.6992  0.1835
O  0.8488  0.1011  0.6760
O  0.8494  0.6135  0.6888
O  0.8904  0.3072  0.1784
O  0.9603  0.3972  0.4439

Values from the calculation:
excess energy over the best structure of this formula in the dataset = 0 kJ/mol of formula units
total DFT energy (no corrections) = -7.17 eV per atom